Model A:
## MnPbI2O (PBE with a Hubbard U)

Data for MnPbI2O after structural relaxation.

Properties
Magnetization = 4.65 μB per cell
Volume = 135.9 Å³ per cell
Mass density = 6.5 g/cm³

Cell: 5.964 5.964 3.819 Å, 90.00 90.00 90.00°
Space group P4/mmm (No. 123)
Symmetry-distinct sites (fractional):
Mn 0.000 0.000 0.000
Pb 0.500 0.500 0.500
I 0.000 0.500 0.000
O 0.000 0.000 0.500

***

Model B:
## MnPbI2O (PBE with a Hubbard U)

Data for MnPbI2O after structural relaxation.

Properties
Magnetization = 5.82 μB per cell
Volume = 160.8 Å³ per cell
Mass density = 5.5 g/cm³

Cell: 6.164 6.164 4.232 Å, 90.00 90.00 90.00°
Space group P4/mmm (No. 123)
Symmetry-distinct sites (fractional):
Mn 0.000 0.000 0.000
Pb 0.500 0.500 0.500
I 0.000 0.500 0.500
O 0.500 0.500 0.000

***

Which is most stable, and by how much? model A, by 508 meV per atom.

***

Model A:
## MnPdI2O (PBE with a Hubbard U)

Data for MnPdI2O after structural relaxation.

Properties
Magnetization = 3.35 μB per cell
Volume = 118.3 Å³ per cell
Mass density = 6.1 g/cm³

Cell: 5.695 5.695 3.649 Å, 90.00 90.00 90.00°
Space group P4/mmm (No. 123)
Symmetry-distinct sites (fractional):
Mn 0.000 0.000 0.000
Pd 0.500 0.500 0.500
I 0.000 0.500 0.000
O 0.000 0.000 0.500

***

Model B:
## MnPdI2O (PBE with a Hubbard U)

Data for MnPdI2O after structural relaxation.

Properties
Magnetization = 6.20 μB per cell
Volume = 124.6 Å³ per cell
Mass density = 5.7 g/cm³

Cell: 5.630 5.630 3.931 Å, 90.00 90.00 90.00°
Space group P4/mmm (No. 123)
Symmetry-distinct sites (fractional):
Mn 0.000 0.000 0.000
Pd 0.500 0.500 0.500
I 0.000 0.500 0.500
O 0.500 0.500 0.000

***

Which is most stable, and by how much? model A, by 175 meV per atom.

***

Model A:
## MnPtI2O (PBE with a Hubbard U)

Data for MnPtI2O after structural relaxation.

Properties
Magnetization = 6.01 μB per cell
Volume = 126.0 Å³ per cell
Mass density = 6.9 g/cm³

Cell: 5.705 5.705 3.871 Å, 90.00 90.00 90.00°
Space group P4/mmm (No. 123)
Symmetry-distinct sites (fractional):
Mn 0.000 0.000 0.000
Pt 0.500 0.500 0.500
I 0.000 0.500 0.500
O 0.500 0.500 0.000

***

Model B:
## MnPtI2O (PBE with a Hubbard U)

Data for MnPtI2O after structural relaxation.

Properties
Magnetization = 3.41 μB per cell
Volume = 114.1 Å³ per cell
Mass density = 7.6 g/cm³

Cell: 5.618 5.618 3.615 Å, 90.00 90.00 90.00°
Space group P4/mmm (No. 123)
Symmetry-distinct sites (fractional):
Mn 0.000 0.000 0.000
Pt 0.500 0.500 0.500
I 0.000 0.500 0.000
O 0.000 0.000 0.500

***

Which is most stable, and by how much? model A, by 42 meV per atom.

***

Model A:
## RbMnI2O (PBE with a Hubbard U)

Data for RbMnI2O after structural relaxation.

Properties
Magnetization = 4.16 μB per cell
Volume = 150.7 Å³ per cell
Mass density = 4.5 g/cm³

Cell: 6.304 6.304 3.792 Å, 90.00 90.00 90.00°
Space group P4/mmm (No. 123)
Symmetry-distinct sites (fractional):
Rb 0.000 0.000 0.000
Mn 0.500 0.500 0.500
I 0.000 0.500 0.500
O 0.500 0.500 0.000

***

Model B:
## RbMnI2O (PBE with a Hubbard U)

Data for RbMnI2O after structural relaxation.

Properties
Magnetization = 7.06 μB per cell
Volume = 217.1 Å³ per cell
Mass density = 3.1 g/cm³

Cell: 6.665 6.665 4.888 Å, 90.00 90.00 90.00°
Space group P4/mmm (No. 123)
Symmetry-distinct sites (fractional):
Rb 0.000 0.000 0.000
Mn 0.500 0.500 0.500
I 0.000 0.500 0.000
O 0.000 0.000 0.500

***

Which is most stable, and by how much? model A, by 1272 meV per atom.

***

Model A:
## MnReIO2 (PBE with a Hubbard U)

Data for MnReIO2 after structural relaxation.

Properties
Magnetization = 4.80 μB per cell
Volume = 97.0 Å³ per cell
Mass density = 6.8 g/cm³

Cell: 3.873 3.873 6.468 Å, 90.00 90.00 90.00°
Space group P4/mmm (No. 123)
Symmetry-distinct sites (fractional):
Mn 0.000 0.000 0.000
Re 0.500 0.500 0.500
I 0.500 0.500 0.000
O 0.000 0.500 0.500

***

Model B:
## MnReIO2 (PBE with a Hubbard U)

Data for MnReIO2 after structural relaxation.

Properties
Magnetization = 8.58 μB per cell
Volume = 92.2 Å³ per cell
Mass density = 7.2 g/cm³

Cell: 3.892 3.892 6.085 Å, 90.00 90.00 90.00°
Space group P4/mmm (No. 123)
Symmetry-distinct sites (fractional):
Mn 0.000 0.000 0.000
Re 0.500 0.500 0.500
I 0.000 0.000 0.500
O 0.000 0.500 0.000

***

Which is most stable, and by how much? model A, by 912 meV per atom.

***

Model A:
## MnRuI2O (PBE with a Hubbard U)

Data for MnRuI2O after structural relaxation.

Properties
Magnetization = 7.38 μB per cell
Volume = 120.2 Å³ per cell
Mass density = 5.9 g/cm³

Cell: 5.717 5.717 3.677 Å, 90.00 90.00 90.00°
Space group P4/mmm (No. 123)
Symmetry-distinct sites (fractional):
Mn 0.000 0.000 0.000
Ru 0.500 0.500 0.500
I 0.000 0.500 0.000
O 0.000 0.000 0.500

***

Model B:
## MnRuI2O (PBE with a Hubbard U)

Data for MnRuI2O after structural relaxation.

Properties
Magnetization = 5.21 μB per cell
Volume = 118.6 Å³ per cell
Mass density = 6.0 g/cm³

Cell: 5.612 5.612 3.767 Å, 90.00 90.00 90.00°
Space group P4/mmm (No. 123)
Symmetry-distinct sites (fractional):
Mn 0.000 0.000 0.000
Ru 0.500 0.500 0.500
I 0.000 0.500 0.500
O 0.500 0.500 0.000

***

Which is most stable, and by how much? model B, by 361 meV per atom.

***

Model A:
## MnSI2O (PBE with a Hubbard U)

Data for MnSI2O after structural relaxation.

Properties
Magnetization = 3.70 μB per cell
Volume = 120.6 Å³ per cell
Mass density = 4.9 g/cm³

Cell: 5.739 5.739 3.661 Å, 90.00 90.00 90.00°
Space group P4/mmm (No. 123)
Symmetry-distinct sites (fractional):
Mn 0.000 0.000 0.000
S 0.500 0.500 0.500
I 0.000 0.500 0.000
O 0.000 0.000 0.500

***

Model B:
## MnSI2O (PBE with a Hubbard U)

Data for MnSI2O after structural relaxation.

Properties
Magnetization = 5.34 μB per cell
Volume = 120.2 Å³ per cell
Mass density = 4.9 g/cm³

Cell: 5.715 5.715 3.680 Å, 90.00 90.00 90.00°
Space group P4/mmm (No. 123)
Symmetry-distinct sites (fractional):
Mn 0.000 0.000 0.000
S 0.500 0.500 0.500
I 0.000 0.500 0.500
O 0.500 0.500 0.000

***

Which is most stable, and by how much? model A, by 146 meV per atom.

***

Model A:
## MnSb2IO (PBE with a Hubbard U)

Data for MnSb2IO after structural relaxation.

Properties
Magnetization = 5.08 μB per cell
Volume = 136.0 Å³ per cell
Mass density = 5.4 g/cm³

Cell: 4.484 4.484 6.767 Å, 90.00 90.00 90.00°
Space group P4/mmm (No. 123)
Symmetry-distinct sites (fractional):
Mn 0.000 0.000 0.000
Sb 0.000 0.500 0.500
I 0.500 0.500 0.000
O 0.500 0.500 0.500

***

Model B:
## MnSb2IO (PBE with a Hubbard U)

Data for MnSb2IO after structural relaxation.

Properties
Magnetization = 4.64 μB per cell
Volume = 152.5 Å³ per cell
Mass density = 4.8 g/cm³

Cell: 5.261 5.261 5.511 Å, 90.00 90.00 90.00°
Space group P4/mmm (No. 123)
Symmetry-distinct sites (fractional):
Mn 0.000 0.000 0.000
Sb 0.000 0.500 0.000
I 0.000 0.000 0.500
O 0.500 0.500 0.500

***

Which is most stable, and by how much? model A, by 748 meV per atom.

***

Model A:
## ScMnIO2 (PBE with a Hubbard U)

Data for ScMnIO2 after structural relaxation.

Properties
Magnetization = 5.63 μB per cell
Volume = 99.0 Å³ per cell
Mass density = 4.3 g/cm³

Cell: 4.110 4.110 5.860 Å, 90.00 90.00 90.00°
Space group P4/mmm (No. 123)
Symmetry-distinct sites (fractional):
Sc 0.000 0.000 0.000
Mn 0.500 0.500 0.500
I 0.000 0.000 0.500
O 0.000 0.500 0.000

***

Model B:
## ScMnIO2 (PBE with a Hubbard U)

Data for ScMnIO2 after structural relaxation.

Properties
Magnetization = 4.19 μB per cell
Volume = 86.9 Å³ per cell
Mass density = 4.9 g/cm³

Cell: 4.005 4.005 5.415 Å, 90.00 90.00 90.00°
Space group P4/mmm (No. 123)
Symmetry-distinct sites (fractional):
Sc 0.000 0.000 0.000
Mn 0.500 0.500 0.500
I 0.500 0.500 0.000
O 0.000 0.500 0.500

***

Which is most stable, and by how much? model A, by 517 meV per atom.

***

Model A:
## ScMnI2O (PBE with a Hubbard U)

Data for ScMnI2O after structural relaxation.

Properties
Magnetization = 5.76 μB per cell
Volume = 126.0 Å³ per cell
Mass density = 4.9 g/cm³

Cell: 5.789 5.789 3.760 Å, 90.00 90.00 90.00°
Space group P4/mmm (No. 123)
Symmetry-distinct sites (fractional):
Sc 0.000 0.000 0.000
Mn 0.500 0.500 0.500
I 0.000 0.500 0.500
O 0.500 0.500 0.000

***

Model B:
## ScMnI2O (PBE with a Hubbard U)

Data for ScMnI2O after structural relaxation.

Properties
Magnetization = 5.83 μB per cell
Volume = 141.4 Å³ per cell
Mass density = 4.3 g/cm³

Cell: 6.015 6.015 3.907 Å, 90.00 90.00 90.00°
Space group P4/mmm (No. 123)
Symmetry-distinct sites (fractional):
Sc 0.000 0.000 0.000
Mn 0.500 0.500 0.500
I 0.000 0.500 0.000
O 0.000 0.000 0.500

***

Which is most stable, and by how much? model B, by 482 meV per atom.

***

Model A:
## MnSeI2O (PBE with a Hubbard U)

Data for MnSeI2O after structural relaxation.

Properties
Magnetization = 5.60 μB per cell
Volume = 136.1 Å³ per cell
Mass density = 4.9 g/cm³

Cell: 5.932 5.932 3.868 Å, 90.00 90.00 90.00°
Space group P4/mmm (No. 123)
Symmetry-distinct sites (fractional):
Mn 0.000 0.000 0.000
Se 0.500 0.500 0.500
I 0.000 0.500 0.500
O 0.500 0.500 0.000

***

Model B:
## MnSeI2O (PBE with a Hubbard U)

Data for MnSeI2O after structural relaxation.

Properties
Magnetization = 0.02 μB per cell
Volume = 116.5 Å³ per cell
Mass density = 5.8 g/cm³

Cell: 5.731 5.731 3.546 Å, 90.00 90.00 90.00°
Space group P4/mmm (No. 123)
Symmetry-distinct sites (fractional):
Mn 0.000 0.000 0.000
Se 0.500 0.500 0.500
I 0.000 0.500 0.000
O 0.000 0.000 0.500

***

Which is most stable, and by how much? model A, by 304 meV per atom.

***

Model A:
## SrMnIO2 (PBE with a Hubbard U)

Data for SrMnIO2 after structural relaxation.

Properties
Magnetization = 4.00 μB per cell
Volume = 100.3 Å³ per cell
Mass density = 5.0 g/cm³

Cell: 4.301 4.301 5.424 Å, 90.00 90.00 90.00°
Space group P4/mmm (No. 123)
Symmetry-distinct sites (fractional):
Sr 0.000 0.000 0.000
Mn 0.500 0.500 0.500
I 0.500 0.500 0.000
O 0.000 0.500 0.500

***

Model B:
## SrMnIO2 (PBE with a Hubbard U)

Data for SrMnIO2 after structural relaxation.

Properties
Magnetization = 7.01 μB per cell
Volume = 137.4 Å³ per cell
Mass density = 3.6 g/cm³

Cell: 4.582 4.582 6.544 Å, 90.00 90.00 90.00°
Space group P4/mmm (No. 123)
Symmetry-distinct sites (fractional):
Sr 0.000 0.000 0.000
Mn 0.500 0.500 0.500
I 0.000 0.000 0.500
O 0.000 0.500 0.000

***

Which is most stable, and by how much? model A, by 629 meV per atom.